## Al3CrBr (PBE)

Data for crystalline Al3CrBr at its relaxed geometry.

Output
For the formation energy (no corrections), the calculation gives 47.1 kJ/mol of atoms. The relative energy among the computed polymorphs comes out at 0.0 meV/atom. For the size of the total moment, the calculation gives 4.0 μB/cell.

Cell lengths 4.9673, 4.9673, 4.9673 Å; angles 90.00, 90.00, 90.00 degrees
With the nearest neighbours (Å) after each atom.
Space group Pm-3m (No. 221)
One atom of each set of equivalent atoms:
Al1 0.0000 0.0000 0.5000 (multiplicity 3)  2 Cr 2.48
Cr1 0.0000 0.0000 0.0000 (multiplicity 1)  6 Al 2.48
Br1 0.5000 0.5000 0.5000 (multiplicity 1)  12 Al 3.51